1.
Li3Hg2 | Alexandria via LeMat-Bulk | PBE-GGA | relaxed; excess energy over the best structure of this formula in the dataset = 4 meV per atom; uncorrected energy = -15.92 eV/cell; formation enthalpy at 0 K = -31.1 kJ per mole of atoms
1.0
0.000 7.075 2.659
4.823 0.000 2.659
4.823 7.075 0.000
Li Hg
6 4
Direct
0.000 0.000 0.000
0.250 0.250 0.250
0.373 0.648 0.419
0.648 0.373 0.559
0.691 0.831 0.602
0.831 0.691 0.877
0.116 0.468 0.990
0.260 0.823 0.134
0.468 0.116 0.427
0.823 0.260 0.782

---

2.
Li4Hg | Alexandria via LeMat-Bulk | PBE-GGA | relaxed; excess energy over the best structure of this formula in the dataset = 218 meV per atom; uncorrected energy = -8.01 eV/cell; formation enthalpy at 0 K = -1.1 kJ per mole of atoms
1.0
-3.119 3.119 3.119
3.119 -3.119 3.119
3.119 3.119 -3.119
Li Hg
4 1
Direct
0.000 0.000 0.500
0.000 0.500 0.000
0.500 0.000 0.000
0.500 0.500 0.500
0.000 0.000 0.000

---

3.
LiHg8 | Alexandria via LeMat-Bulk | PBE-GGA | relaxed; uncorrected energy = -4.90 eV/cell; formation enthalpy at 0 K = -6.1 kJ per mole of atoms
1.0
-5.128 5.128 2.169
5.128 -5.128 2.169
5.128 5.128 -2.169
Li Hg
1 8
Direct
0.000 0.000 0.000
0.000 0.330 0.330
0.000 0.670 0.670
0.330 0.000 0.330
0.341 0.341 0.682
0.341 0.659 0.000
0.659 0.341 0.000
0.659 0.659 0.318
0.670 0.000 0.670

---

4.
Li4Hg3 | Alexandria via LeMat-Bulk | PBE-GGA | relaxed; excess energy over the best structure of this formula in the dataset = 0 meV per atom; uncorrected energy = -11.03 eV/cell; formation enthalpy at 0 K = -34.0 kJ per mole of atoms
1.0
10.860 -1.720 0.000
10.860 1.720 0.000
-0.497 0.000 3.401
Li Hg
4 3
Direct
0.073 0.073 0.072
0.214 0.214 0.212
0.786 0.786 0.788
0.927 0.927 0.928
0.351 0.351 0.353
0.500 0.500 0.500
0.649 0.649 0.647

---

5.
LiHg3 | Alexandria via LeMat-Bulk | PBE-GGA | relaxed; uncorrected energy = -3.56 eV/cell; formation enthalpy at 0 K = -17.8 kJ per mole of atoms
1.0
3.414 0.000 0.000
0.000 3.414 0.000
0.000 0.000 7.672
Li Hg
1 3
Direct
0.000 0.000 0.000
0.000 0.000 0.500
0.500 0.500 0.221
0.500 0.500 0.779

---

6.
Li4Hg3 | Alexandria via LeMat-Bulk | PBE-GGA | relaxed; excess energy over the best structure of this formula in the dataset = 50 meV per atom; uncorrected energy = -10.68 eV/cell; formation enthalpy at 0 K = -29.2 kJ per mole of atoms
1.0
2.334 1.348 7.343
-2.334 1.348 7.343
0.000 -2.695 7.343
Li Hg
4 3
Direct
0.114 0.114 0.114
0.370 0.370 0.370
0.630 0.630 0.630
0.886 0.886 0.886
0.246 0.246 0.246
0.500 0.500 0.500
0.754 0.754 0.754